VASP calculation (PBE with a Hubbard U) on a geometry-optimized Na3Ho3WO8 structure.

SG: No. 12
Energy: -6.9592 eV per atom

a b c (Å): 6.710 6.747 6.779
angles (deg): 119.57 90.00 119.82
Atoms (fractional coordinates):
Na 0.000 0.000 0.000
Na 0.000 0.500 0.000
Na 0.500 0.500 0.000
Ho 0.500 0.000 0.500
Ho 0.500 0.500 0.500
Ho 0.000 0.500 0.500
W 0.000 0.000 0.500
O 0.266 0.531 0.292
O 0.734 0.469 0.708
O 0.775 0.550 0.300
O 0.225 0.450 0.700
O 0.782 0.024 0.304
O 0.218 0.976 0.696
O 0.242 0.024 0.304
O 0.758 0.976 0.696